(one)
Below is a PBEsol-optimized structure of Hg5Te, with properties calculated at the SCAN level.

Unit cell a=3.0168 b=3.0168 c=16.8693 alpha=90.00 beta=90.00 gamma=90.00
Closest atoms and distances in Å follow each position.
Element x y z (fractional)
Hg 0.0000 0.0000 0.0000  4 Hg 3.02
Hg 0.0000 0.0000 0.3196  4 Hg 3.02
Hg 0.0000 0.0000 0.6804  4 Hg 3.02
Hg 0.5000 0.5000 0.1592  4 Hg 3.02
Hg 0.5000 0.5000 0.8408  4 Hg 3.02
Te 0.5000 0.5000 0.5000  4 Te 3.02

Results
magnetic moment	0.00	Bohr magnetons per cell
theoretical density	12.23	g cm⁻³
volume	25.59	Å³/atom

---

(two)
Below is a PBEsol-optimized structure of Hg5Te, with properties calculated at the SCAN level.

Unit cell a=5.7162 b=12.4135 c=4.2586 alpha=90.00 beta=90.00 gamma=90.00
Closest atoms and distances in Å follow each position.
Element x y z (fractional)
Hg 0.0000 0.0000 0.0000  4 Hg 2.96
Hg 0.0000 0.1659 0.5000  4 Hg 2.93-2.96
Hg 0.0000 0.3281 0.0000  2 Hg 2.93, 2 Te 3.01
Hg 0.0000 0.6719 0.0000  2 Hg 2.93, 2 Te 3.01
Hg 0.0000 0.8341 0.5000  4 Hg 2.93-2.96
Hg 0.5000 0.1719 0.0000  2 Hg 2.93, 2 Te 3.01
Hg 0.5000 0.3341 0.5000  4 Hg 2.93-2.96
Hg 0.5000 0.5000 0.0000  4 Hg 2.96
Hg 0.5000 0.6659 0.5000  4 Hg 2.93-2.96
Hg 0.5000 0.8281 0.0000  2 Hg 2.93, 2 Te 3.01
Te 0.0000 0.5000 0.5000  4 Hg 3.01
Te 0.5000 0.0000 0.5000  4 Hg 3.01

Results
magnetic moment	0.00	Bohr magnetons per cell
theoretical density	12.43	g cm⁻³
volume	25.18	Å³/atom

---

Energies relative to the most stable structure, in meV/atom: (one) 0; (two) 16.

---

(one)
Below is a PBEsol-optimized structure of TlHg2Te, with properties calculated at the SCAN level.

Unit cell a=7.5575 b=7.5575 c=7.5575 alpha=90.00 beta=90.00 gamma=90.00
Closest atoms and distances in Å follow each position.
Element x y z (fractional)
Tl 0.0000 0.0000 0.0000  4 Hg 3.27, 4 Te 3.27
Tl 0.0000 0.5000 0.5000  4 Hg 3.27, 4 Te 3.27
Tl 0.5000 0.0000 0.5000  4 Hg 3.27, 4 Te 3.27
Tl 0.5000 0.5000 0.0000  4 Hg 3.27, 4 Te 3.27
Hg 0.0000 0.0000 0.5000  4 Hg 3.27, 4 Te 3.27
Hg 0.0000 0.5000 0.0000  4 Hg 3.27, 4 Te 3.27
Hg 0.2500 0.2500 0.7500  4 Hg 3.27, 4 Tl 3.27
Hg 0.2500 0.7500 0.2500  4 Hg 3.27, 4 Tl 3.27
Hg 0.5000 0.0000 0.0000  4 Hg 3.27, 4 Te 3.27
Hg 0.5000 0.5000 0.5000  4 Hg 3.27, 4 Te 3.27
Hg 0.7500 0.2500 0.2500  4 Hg 3.27, 4 Tl 3.27
Hg 0.7500 0.7500 0.7500  4 Tl 3.27, 4 Hg 3.27
Te 0.2500 0.2500 0.2500  4 Hg 3.27, 4 Tl 3.27
Te 0.2500 0.7500 0.7500  4 Hg 3.27, 4 Tl 3.27
Te 0.7500 0.2500 0.7500  4 Hg 3.27, 4 Tl 3.27
Te 0.7500 0.7500 0.2500  4 Hg 3.27, 4 Tl 3.27

Results
magnetic moment	0.00	Bohr magnetons per cell
theoretical density	11.28	g cm⁻³
volume	26.98	Å³/atom

---

(two)
Below is a PBEsol-optimized structure of TlHg2Te, with properties calculated at the SCAN level.

Unit cell a=3.5138 b=3.5138 c=8.5082 alpha=90.00 beta=90.00 gamma=90.00
Closest atoms and distances in Å follow each position.
Element x y z (fractional)
Tl 0.0000 0.0000 0.0000  8 Hg 3.26, 4 Tl 3.51
Hg 0.5000 0.5000 0.2478  4 Tl 3.26, 4 Te 3.28, 4 Hg 3.51
Hg 0.5000 0.5000 0.7522  4 Tl 3.26, 4 Te 3.28, 4 Hg 3.51
Te 0.0000 0.0000 0.5000  8 Hg 3.28, 4 Te 3.51

Results
magnetic moment	0.00	Bohr magnetons per cell
theoretical density	11.59	g cm⁻³
volume	26.26	Å³/atom

---

(three)
Below is a PBEsol-optimized structure of TlHg2Te, with properties calculated at the SCAN level.

Unit cell a=4.2548 b=4.2996 c=11.9561 alpha=90.00 beta=90.00 gamma=90.00
Closest atoms and distances in Å follow each position.
Element x y z (fractional)
Tl 0.0000 0.0000 0.0000  4 Hg 3.09, 2 Te 3.43
Tl 0.5000 0.5000 0.5000  4 Hg 3.09, 2 Te 3.43
Hg 0.0000 0.0000 0.4488  4 Tl 3.09, 2 Hg 3.38, 2 Te 3.42
Hg 0.0000 0.5000 0.2310  4 Te 3.03, 2 Hg 3.38
Hg 0.5000 0.0000 0.7310  4 Te 3.03, 2 Hg 3.38
Hg 0.5000 0.5000 0.9488  4 Tl 3.09, 2 Hg 3.38, 2 Te 3.42
Te 0.0000 0.5000 0.7251  4 Hg 3.03
Te 0.5000 0.0000 0.2251  4 Hg 3.03

Results
magnetic moment	0.00	Bohr magnetons per cell
theoretical density	11.13	g cm⁻³
volume	27.34	Å³/atom

---

Energies relative to the most stable structure, in meV/atom: (one) 13; (two) 102; (three) 0.